VASP calculation (PBE with a Hubbard U) on a relaxed PrVClO2 crystal.

**Space group**: No. 99
**Electronic total energy**: -35.34 eV per cell
**Crystal system**: tetragonal

Cell: 4.149 4.149 5.704 Å, 90.00 90.00 90.00°
Positions (direct):
Pr (0.000, 0.000, 0.000)
V (0.500, 0.500, 0.277)
Cl (0.500, 0.500, 0.723)
O (0.000, 0.500, 0.185)
O (0.500, 0.000, 0.185)